Below is an optimized crystal structure of AcLaMoN4, with properties calculated at the PBE level.

a = 6.0863 Å, b = 6.0371 Å, c = 7.2761 Å
α = 90.00°, β = 109.42°, γ = 90.00°
Fractional positions:
1 Ac 0.2203 0.2500 0.4369
2 Ac 0.7797 0.7500 0.5631
3 La 0.3103 0.2500 0.9743
4 La 0.6897 0.7500 0.0257
5 Mo 0.2440 0.7500 0.1919
6 Mo 0.7560 0.2500 0.8081
7 N 0.0392 0.7500 0.3361
8 N 0.0642 0.7500 0.9310
9 N 0.4506 0.5074 0.2510
10 N 0.4506 0.9926 0.2510
11 N 0.5494 0.0074 0.7490
12 N 0.5494 0.4926 0.7490
13 N 0.9358 0.2500 0.0690
14 N 0.9608 0.2500 0.6639

Output
* DOS(E_F): 0.00 states/eV per cell
* V: 18.010 A^3/atom
* space-group type: No. 11
* raw formation energy: -7.33 eV per formula unit
* magnetic moment: 0.0 μB per cell